No. 1
This record from Alexandria describes an optimized crystal structure of Ti2OsSe. The functional is PBE.

Cell lengths 6.8862, 6.8862, 5.6539 Å; angles 52.48, 52.48, 90.00 degrees
Fractional positions:
Os1 0.0000 0.0000 0.0000
Os2 0.7500 0.2500 0.5000
Se1 0.5000 0.5000 0.0000
Se2 0.2500 0.7500 0.5000
Ti1 0.6298 0.1250 0.2500
Ti2 0.1202 0.6250 0.2500
Ti3 0.3750 0.3702 0.7500
Ti4 0.8750 0.8798 0.7500

Summary:
Formation energy from raw total energies (eV/f.u.): -0.36
Crystal system: tetragonal
Spin magnetization (μB/cell): 0.00
E_tot (eV per atom): -7.7158
SG: No. 122

***

No. 2
This record from Alexandria describes an optimized crystal structure of TiOsSe2. The functional is PBE.

Cell lengths 8.5065, 8.5065, 8.5065 Å; angles 21.11, 21.11, 21.11 degrees
Fractional positions:
Os1 0.0000 0.0000 0.0000
Se1 0.9045 0.9045 0.9045
Se2 0.0955 0.0955 0.0955
Ti1 0.5000 0.5000 0.5000

Summary:
Formation energy from raw total energies (eV/f.u.): -0.34
Crystal system: trigonal
ΔE to the lowest computed polymorph (meV/atom): 0
Spin magnetization (μB/cell): 0.00
E_tot (eV per atom): -6.6080
SG: No. 166

***

No. 3
This record from Alexandria describes an optimized crystal structure of TiOs2Se. The functional is PBE.

Cell lengths 5.5502, 5.5502, 6.8586 Å; angles 66.13, 66.13, 90.00 degrees
Fractional positions:
Os1 0.6397 0.1250 0.2500
Os2 0.1103 0.6250 0.2500
Os3 0.3750 0.3603 0.7500
Os4 0.8750 0.8897 0.7500
Se1 0.0000 0.0000 0.0000
Se2 0.7500 0.2500 0.5000
Ti1 0.5000 0.5000 0.0000
Ti2 0.2500 0.7500 0.5000

Summary:
Formation energy from raw total energies (eV/f.u.): 3.45
Crystal system: tetragonal
Spin magnetization (μB/cell): 0.00
E_tot (eV per atom): -7.5968
SG: No. 122

***

No. 4
This record from Alexandria describes an optimized crystal structure of Y2TiOsSe. The functional is PBE.

Cell lengths 5.4727, 4.6259, 5.4727 Å; angles 90.00, 90.00, 90.00 degrees
Fractional positions:
Y1 0.0000 0.0000 0.5000
Y2 0.5000 0.0000 0.0000
Os1 0.0000 0.0000 0.0000
Se1 0.0000 0.5000 0.0000
Ti1 0.5000 0.5000 0.5000

Summary:
Formation energy from raw total energies (eV/f.u.): 1.99
Crystal system: tetragonal
Spin magnetization (μB/cell): 3.19
E_tot (eV per atom): -6.7101
SG: No. 123

***

The lowest formation energy from raw total energies belongs to which entry? Ti2OsSe

***

Among the records above, which one has the lowest E_tot? Ti2OsSe

***

What is the formula in the third record? TiOs2Se